## AcZn3Ag2 (PBE)

Data for an optimized crystal structure of AcZn3Ag2.

Cell lengths 6.7152, 6.7152, 5.6905 Å; angles 90.00, 90.00, 80.16 degrees
Element x y z (fractional)
Ac1 0.1791 0.8209 0.7500
Ac2 0.8209 0.1791 0.2500
Zn1 0.0505 0.6111 0.2500
Zn2 0.3889 0.9495 0.2500
Zn3 0.4317 0.5683 0.2500
Zn4 0.5683 0.4317 0.7500
Zn5 0.6111 0.0505 0.7500
Zn6 0.9495 0.3889 0.7500
Ag1 0.2822 0.2822 0.0000
Ag2 0.2822 0.2822 0.5000
Ag3 0.7178 0.7178 0.0000
Ag4 0.7178 0.7178 0.5000

Values from the calculation:
Its symmetry is No. 63. The total magnetization is 0.0 μB/f.u. As for the density: 8.393 Mg/m³. The formation energy is -0.21 eV per atom.